# Cs2ZrSeBr6 (PBE, optimized geometry)
# E_tot, eV/atom: -3.594
# ΔE_f (raw), eV/f.u.: -12.168
data_Cs2ZrSeBr6
_chemical_formula_sum 'Cs2 Zr1 Se1 Br6'
_cell_length_a 8.1928
_cell_length_b 8.1928
_cell_length_c 8.1928
_cell_angle_alpha 113.98
_cell_angle_beta 113.98
_cell_angle_gamma 100.79
_symmetry_space_group_name_H-M 'P 1'
_symmetry_Int_Tables_number 1
_symmetry_space_group_name_Hall 'P 1'
loop_
_atom_site_label
_atom_site_type_symbol
_atom_site_fract_x
_atom_site_fract_y
_atom_site_fract_z
Cs1 Cs 0.2500 0.7500 0.5000
Cs2 Cs 0.7500 0.2500 0.5000
Zr1 Zr 0.0000 0.0000 0.0000
Se1 Se 0.5000 0.5000 0.0000
Br1 Br 0.2105 0.2105 0.4210
Br2 Br 0.2105 0.7895 0.0000
Br3 Br 0.2538 0.2538 0.0000
Br4 Br 0.7462 0.7462 0.0000
Br5 Br 0.7895 0.2105 0.0000
Br6 Br 0.7895 0.7895 0.5790